First-principles (PBE-GGA) data for a geometry-optimized CsNa2H6 structure, as listed in the Alexandria database.

a = 5.6575 Å, b = 5.6575 Å, c = 5.6575 Å
α = 60.00°, β = 60.00°, γ = 60.00°
Last column: nearest neighbours and their distance in Å.
Element x y z (fractional)
Cs  0.0000  0.0000  0.0000  6 H 3.03
Na  0.2500  0.2500  0.2500  12 H 3.01
Na  0.7500  0.7500  0.7500  12 H 3.01
H  0.3793  0.3793  0.6207  4 H 1.37
H  0.3793  0.6207  0.3793  4 H 1.37
H  0.3793  0.6207  0.6207  4 H 1.37
H  0.6207  0.3793  0.3793  4 H 1.37
H  0.6207  0.3793  0.6207  4 H 1.37
H  0.6207  0.6207  0.3793  4 H 1.37

=====

First-principles (PBE-GGA) data for a geometry-optimized Cs4NaH5 structure, as listed in the Alexandria database.

a = 7.7634 Å, b = 7.7634 Å, c = 7.7634 Å
α = 95.58°, β = 95.58°, γ = 143.66°
Last column: nearest neighbours and their distance in Å.
Element x y z (fractional)
Cs  0.0000  0.2681  0.2681  1 H 2.80
Cs  0.0000  0.7319  0.7319  1 H 2.80
Cs  0.2681  0.0000  0.2681  1 H 2.80
Cs  0.7319  0.0000  0.7319  1 H 2.80
Na  0.5000  0.5000  0.0000  6 H 2.42-2.43
H  0.0000  0.0000  0.0000  2 Na 2.42
H  0.3356  0.3356  0.6712  1 Na 2.43
H  0.3356  0.6644  0.0000  1 Na 2.43
H  0.6644  0.3356  0.0000  1 Na 2.43
H  0.6644  0.6644  0.3288  1 Na 2.43

=====

First-principles (PBE-GGA) data for a geometry-optimized CsNaH2 structure, as listed in the Alexandria database.

a = 7.4041 Å, b = 7.7883 Å, c = 6.4655 Å
α = 90.00°, β = 103.31°, γ = 90.00°
Last column: nearest neighbours and their distance in Å.
Element x y z (fractional)
Cs  0.1675  0.0826  0.2972  6 H 3.04-3.27
Cs  0.1675  0.4174  0.7972  6 H 3.04-3.27
Cs  0.8325  0.5826  0.2028  6 H 3.04-3.27
Cs  0.8325  0.9174  0.7028  6 H 3.04-3.27
Na  0.3746  0.6669  0.3564  5 H 2.31-2.51
Na  0.3746  0.8331  0.8564  5 H 2.31-2.51
Na  0.6254  0.1669  0.1436  5 H 2.31-2.51
Na  0.6254  0.3331  0.6436  5 H 2.31-2.51
H  0.1556  0.7493  0.0399  2 Na 2.31-2.39
H  0.1556  0.7507  0.5399  2 Na 2.31-2.39
H  0.4328  0.1179  0.7752  3 Na 2.34-2.51
H  0.4328  0.3821  0.2752  3 Na 2.34-2.51
H  0.5672  0.6179  0.7248  3 Na 2.34-2.51
H  0.5672  0.8821  0.2248  3 Na 2.34-2.51
H  0.8444  0.2493  0.4601  2 Na 2.31-2.39
H  0.8444  0.2507  0.9601  2 Na 2.31-2.39

=====

First-principles (PBE-GGA) data for a geometry-optimized CsNaH structure, as listed in the Alexandria database.

a = 4.8274 Å, b = 4.8274 Å, c = 9.6580 Å
α = 90.00°, β = 90.00°, γ = 90.00°
Last column: nearest neighbours and their distance in Å.
Element x y z (fractional)
Cs  0.0000  0.0000  0.2081  4 H 3.14
Cs  0.0000  0.0000  0.7919  4 H 3.14
Na  0.5000  0.5000  0.0000  4 H 2.41
Na  0.5000  0.5000  0.5000  8 Cs 4.43, 6 Na 4.83
H  0.0000  0.5000  0.0000  2 Na 2.41
H  0.5000  0.0000  0.0000  2 Na 2.41

Polymorph energy (0 for the lowest one): 9 meV/atom

=====

Here are the calculated DFT total energy numbers, same order: -18.1; -22.3; -38.1; -11.5 (eV per cell).
Here are the calculated volume numbers, same order: 14.2; 26.3; 22.7; 37.5 (Å³ per atom).
Here are the calculated size of the total moment numbers, same order: 0.00; 0.00; 0.00; 0.00 (Bohr magnetons per cell).